# GGA-PBE Mg2Ga9Pd3, relaxed
data_Mg2Ga9Pd3
_cell_length_a 13.326
_cell_length_b 7.105
_cell_length_c 11.571
_cell_angle_alpha 90.00
_cell_angle_beta 115.90
_cell_angle_gamma 90.00
_space_group_name_H-M_alt 'C 1 2/c 1'
_space_group_IT_number 15
loop_
_space_group_symop_operation_xyz
'x,y,z'
'-x,-y,-z'
'-x,y,-z+1/2'
'x,-y,z+1/2'
'x+1/2,y+1/2,z'
'-x+1/2,-y+1/2,-z'
'-x+1/2,y+1/2,-z+1/2'
'x+1/2,-y+1/2,z+1/2'
loop_
_atom_site_label
_atom_site_type_symbol
_atom_site_fract_x
_atom_site_fract_y
_atom_site_fract_z
Mg1 Mg 0.194 0.053 0.248
Ga1 Ga 0.000 0.259 0.250
Ga2 Ga 0.058 0.056 0.924
Ga3 Ga 0.092 0.384 0.071
Ga4 Ga 0.100 0.322 0.768
Ga5 Ga 0.202 0.395 0.422
Pd1 Pd 0.115 0.252 0.565
Pd2 Pd 0.250 0.250 0.000
# Volume in Å³ per atom: 17.6
# ΔE_f in eV per atom: -0.344
# ρ in g/cm3: 6.71
# Spin magnetization in μB per formula unit: 0.0
# Crystal system: monoclinic

=====

# GGA-PBE Mg2Ga2Pd, relaxed
data_Mg2Ga2Pd
_cell_length_a 6.604
_cell_length_b 6.604
_cell_length_c 4.188
_cell_angle_alpha 90.00
_cell_angle_beta 90.00
_cell_angle_gamma 90.00
_space_group_name_H-M_alt 'P 4/m b m'
_space_group_IT_number 127
_space_group_name_Hall '-P 4 2ab'
loop_
_atom_site_label
_atom_site_type_symbol
_atom_site_fract_x
_atom_site_fract_y
_atom_site_fract_z
Mg1 Mg 0.172 0.328 0.000
Ga1 Ga 0.135 0.635 0.500
Pd1 Pd 0.000 0.000 0.500
# Volume in Å³ per atom: 18.3
# ΔE_f in eV per atom: -0.356
# ρ in g/cm3: 5.35
# Spin magnetization in μB per formula unit: 0.0
# Crystal system: tetragonal

=====

# GGA-PBE MgGa3Pd4, relaxed
data_MgGa3Pd4
_cell_length_a 4.4219
_cell_length_b 4.4219
_cell_length_c 21.5072
_cell_angle_alpha 90.00
_cell_angle_beta 90.00
_cell_angle_gamma 120.00
_space_group_name_H-M_alt 'R -3 m'
_space_group_IT_number 166
_space_group_name_Hall '-R 3 2"'
loop_
_atom_site_label
_atom_site_type_symbol
_atom_site_fract_x
_atom_site_fract_y
_atom_site_fract_z
Mg1 Mg 0.0000 0.0000 0.0000
Ga1 Ga 0.0000 0.0000 0.2553
Ga2 Ga 0.0000 0.0000 0.5000
Pd1 Pd 0.0000 0.0000 0.1298
Pd2 Pd 0.0000 0.0000 0.3806
# Volume in Å³ per atom: 15.2
# ΔE_f in eV per atom: -0.654
# ρ in g/cm3: 9.02
# Spin magnetization in μB per formula unit: 0.0
# Crystal system: trigonal

=====

# GGA-PBE Mg5Ga2Pd, relaxed
data_Mg5Ga2Pd
_cell_length_a 4.5916
_cell_length_b 4.5916
_cell_length_c 17.8253
_cell_angle_alpha 90.00
_cell_angle_beta 90.00
_cell_angle_gamma 120.00
_space_group_name_H-M_alt 'P 63/m m c'
_space_group_IT_number 194
_space_group_name_Hall '-P 6c 2c'
loop_
_atom_site_label
_atom_site_type_symbol
_atom_site_fract_x
_atom_site_fract_y
_atom_site_fract_z
Mg1 Mg 0.0000 0.0000 0.1615
Mg2 Mg 0.3333 0.6667 0.0490
Mg3 Mg 0.3333 0.6667 0.2500
Ga1 Ga 0.3333 0.6667 0.6072
Pd1 Pd 0.3333 0.6667 0.7500
# Volume in Å³ per atom: 20.3
# ΔE_f in eV per atom: -0.273
# ρ in g/cm3: 3.75
# Spin magnetization in μB per formula unit: 0.0
# Crystal system: hexagonal

=====

- Look up the ΔE_f of the fourth one.
  -0.273 eV per atom

=====

- What is the formula in the first record?
  Mg2Ga9Pd3